Below is crystalline CeDyI5 at its relaxed geometry, with properties calculated at the PBE-GGA level.

```
CeDyI5
1.0
9.345 0.000 0.000
0.000 4.272 0.000
-1.192 0.000 14.886
Ce Dy I
2 2 10
Direct
0.100 0.250 0.149
0.900 0.750 0.851
0.413 0.750 0.344
0.587 0.250 0.656
0.073 0.750 0.311
0.144 0.250 0.928
0.324 0.250 0.481
0.356 0.750 0.133
0.372 0.750 0.706
0.628 0.250 0.294
0.644 0.250 0.867
0.676 0.750 0.519
0.856 0.750 0.072
0.927 0.250 0.689
```

Values from the calculation:
Its raw total energy is -55.0 eV/cell. As for the spin magnetization: 2.01 μB/f.u. The value obtained for the formation energy without anion corrections is -1.318 eV/atom. Its space group is P2_1/m (11).


Below is crystalline CeDyI6 at its relaxed geometry, with properties calculated at the PBE-GGA level.

```
CeDyI6
1.0
7.628 0.000 0.000
0.000 14.427 0.000
-2.336 0.000 7.253
Ce Dy I
2 2 12
Direct
0.000 0.000 0.000
0.500 0.500 0.000
0.000 0.500 0.500
0.500 0.000 0.500
0.239 0.352 0.743
0.239 0.648 0.743
0.248 0.500 0.256
0.252 0.000 0.744
0.261 0.148 0.257
0.261 0.852 0.257
0.739 0.148 0.743
0.739 0.852 0.743
0.748 0.000 0.256
0.752 0.500 0.744
0.761 0.352 0.257
0.761 0.648 0.257
```

Values from the calculation:
The relative energy among the computed polymorphs is 0 kJ/mol of formula units. Its raw total energy is -61.0 eV/cell. As for the spin magnetization: 1.00 μB/f.u. The value obtained for the formation energy without anion corrections is -1.331 eV/atom. Its space group is C2/m (12).